Entry 1:
Cs3Te4Au2: optimized geometry, PBE.

a b c (Å): 7.472 7.472 9.958
angles (deg): 103.75 103.75 40.49
Fractional positions:
Cs (0.000, 0.000, 0.000)
Cs (0.399, 0.399, 0.325)
Cs (0.601, 0.601, 0.675)
Te (0.137, 0.137, 0.399)
Te (0.272, 0.272, 0.944)
Te (0.728, 0.728, 0.056)
Te (0.863, 0.863, 0.601)
Au (0.304, 0.304, 0.660)
Au (0.696, 0.696, 0.340)

Computed properties:
- Formation energy from raw total energies: -13.2 kcal/mol of atoms
- SG: C2/m, No. 12
- Energy: -26.85 eV/cell

Entry 2:
Er2ZnS: optimized geometry, PBE.

a b c (Å): 7.946 7.946 7.946
angles (deg): 26.96 26.96 26.96
Fractional positions:
Er (0.000, 0.000, 0.000)
Er (0.158, 0.158, 0.158)
Zn (0.579, 0.579, 0.579)
S (0.747, 0.747, 0.747)

Computed properties:
- Formation energy from raw total energies: -22.8 kcal/mol of atoms
- Distance to the lowest polymorph of the same formula: 165.1 meV/atom
- SG: R3m, No. 160
- Energy: -18.48 eV/cell

Entry 3:
Cs6Hg2OF: optimized geometry, PBE.

a b c (Å): 15.204 15.204 15.204
angles (deg): 32.93 32.93 32.93
Fractional positions:
Cs (0.111, 0.111, 0.654)
Cs (0.111, 0.654, 0.111)
Cs (0.218, 0.700, 0.700)
Cs (0.300, 0.300, 0.782)
Cs (0.300, 0.782, 0.300)
Cs (0.346, 0.889, 0.889)
Cs (0.654, 0.111, 0.111)
Cs (0.700, 0.218, 0.700)
Cs (0.700, 0.700, 0.218)
Cs (0.782, 0.300, 0.300)
Cs (0.889, 0.346, 0.889)
Cs (0.889, 0.889, 0.346)
Hg (0.209, 0.209, 0.209)
Hg (0.376, 0.376, 0.376)
Hg (0.624, 0.624, 0.624)
Hg (0.791, 0.791, 0.791)
O (0.000, 0.000, 0.000)
O (0.500, 0.500, 0.500)
F (0.086, 0.086, 0.086)
F (0.914, 0.914, 0.914)

Computed properties:
- Formation energy from raw total energies: -20.6 kcal/mol of atoms
- SG: R-3m, No. 166
- Energy: -42.94 eV/cell

Entry 4:
TbPaTcNi: optimized geometry, PBE.

a b c (Å): 4.822 4.822 4.822
angles (deg): 60.00 60.00 60.00
Fractional positions:
Tb (0.000, 0.000, 0.000)
Pa (0.500, 0.500, 0.500)
Tc (0.250, 0.250, 0.250)
Ni (0.750, 0.750, 0.750)

Computed properties:
- DFT formation energy: -15 kJ per mole of atoms
- SG: F-43m, No. 216
- Energy: -30.91 eV/cell

Entry 5:
NbGa2W2: optimized geometry, PBE.

a b c (Å): 6.875 6.875 3.376
angles (deg): 90.00 90.00 90.00
Fractional positions:
Nb (0.000, 0.000, 0.000)
Nb (0.500, 0.500, 0.000)
Ga (0.129, 0.371, 0.000)
Ga (0.371, 0.871, 0.000)
Ga (0.629, 0.129, 0.000)
Ga (0.871, 0.629, 0.000)
W (0.170, 0.670, 0.500)
W (0.330, 0.170, 0.500)
W (0.670, 0.830, 0.500)
W (0.830, 0.330, 0.500)

Computed properties:
- DFT formation energy: 9 kJ per mole of atoms
- SG: P4/mbm, No. 127
- Energy: -83.09 eV/cell

Entry 6:
TlZnCo2: optimized geometry, PBE.

a b c (Å): 8.214 8.214 8.214
angles (deg): 20.74 20.74 20.74
Fractional positions:
Tl (0.000, 0.000, 0.000)
Zn (0.500, 0.500, 0.500)
Co (0.244, 0.244, 0.244)
Co (0.756, 0.756, 0.756)

Computed properties:
- DFT formation energy: 50 kJ per mole of atoms
- Distance to the lowest polymorph of the same formula: 224.1 meV/atom
- SG: R-3m, No. 166
- Energy: -15.76 eV/cell